Entry 1:
DFT (PBE) results for a relaxed structure of TeRuAu2.

volume = 77.24 Å³/f.u.
formation energy (no corrections) = 30 kJ/mol of atoms
Fermi-level density of states = 0.622 states/eV/atom
SG = Cm, No. 8

Lattice parameters (Å, degrees): 4.7604 4.7604 5.1180 77.91 77.91 43.12
Positions (direct):
Au (0.7609, 0.7609, 0.7518)
Te (0.2246, 0.2246, 0.3082)
Au (0.0095, 0.0095, 0.9756)
Ru (0.5050, 0.5050, 0.4644)



Entry 2:
DFT (PBE) results for a relaxed structure of TeRuAu2.

volume = 74.98 Å³/f.u.
formation energy (no corrections) = 20 kJ/mol of atoms
Fermi-level density of states = 0.429 states/eV/atom
SG = Pm, No. 6

Lattice parameters (Å, degrees): 3.7302 3.2939 6.9217 61.84 90.00 90.00
Positions (direct):
Au (0.5000, 0.2553, 0.2458)
Te (0.5000, 0.7946, 0.7061)
Au (0.0000, 0.9716, 0.0288)
Ru (0.0000, 0.4784, 0.5193)



DFT total energy (eV/f.u.)
-17.75; -18.13